Here is CrCoRh2Cl after structural relaxation from the Alexandria database. Energies are from GGA-PBE.

a = 4.5003 Å, b = 4.3979 Å, c = 4.5003 Å
α = 90.00°, β = 90.00°, γ = 90.00°
Closest atoms and distances in Å follow each position.
Positions (direct):
1 Rh 0.5000 0.0000 0.0000  2 Cr 2.25
2 Rh 0.0000 0.0000 0.5000  2 Cr 2.25
3 Cl 0.5000 0.5000 0.5000  8 Rh 3.15, 4 Co 3.18
4 Cr 0.0000 0.0000 0.0000  2 Co 2.20, 4 Rh 2.25
5 Co 0.0000 0.5000 0.0000  2 Cr 2.20

- E_tot (eV per atom) = -5.496
- space-group type = No. 123
- formation energy from raw total energies (eV per atom) = 1.160
- N(E_F) (states/eV/f.u.) = 7.32